{
  "formula": "Er5ThHg6",
  "functional": "PBE",
  "state": "optimized geometry",
  "cell": [[-2.927, -4.202, 0.981], [-0.250, -1.544, -7.361], [8.061, -1.475, 3.882]],
  "species": ["Hg", "Hg", "Hg", "Hg", "Hg", "Hg", "Th", "Er", "Er", "Er", "Er", "Er"],
  "frac_coords": [[0.828, 0.565, 0.657], [0.828, 0.091, 0.657], [0.500, 0.729, 0.000], [0.500, 0.271, 0.000], [0.172, 0.909, 0.343], [0.172, 0.435, 0.343], [0.000, 0.000, 0.000], [0.659, 0.159, 0.319], [0.329, 0.329, 0.658], [0.000, 0.500, 0.000], [0.671, 0.671, 0.342], [0.341, 0.841, 0.681]],
  "m_tot_mub_per_cell": 1.7,
  "sg": "Immm, No. 71",
  "dos_at_fermi_per_ev_cell": 10.032,
  "formation_energy_ev_per_fu": -5.0
}